Record 1
First-principles (PBE with a Hubbard U) data for crystalline CsBaFeO3 at its relaxed geometry, as listed in Alexandria.

E: -65.91 eV for the cell shown
Density: 5.188 Mg/m³

Cell lengths 7.472, 7.472, 8.431 Å; angles 105.55, 105.55, 31.99 degrees
Atoms (fractional coordinates):
Cs 0.146 0.146 0.067
Cs 0.854 0.854 0.933
Ba 0.155 0.155 0.583
Ba 0.845 0.845 0.417
Fe 0.492 0.492 0.713
Fe 0.508 0.508 0.287
O 0.008 0.008 0.294
O 0.355 0.355 0.642
O 0.372 0.372 0.223
O 0.628 0.628 0.777
O 0.645 0.645 0.358
O 0.992 0.992 0.706

---

Record 2
First-principles (PBE with a Hubbard U) data for crystalline Cs2BaFeO4 at its relaxed geometry, as listed in Alexandria.

E: -80.24 eV for the cell shown
Density: 3.114 Mg/m³

Cell lengths 14.636, 13.484, 7.316 Å; angles 83.85, 66.35, 29.80 degrees
Atoms (fractional coordinates):
Cs 0.075 0.075 0.675
Cs 0.325 0.325 0.925
Cs 0.675 0.675 0.075
Cs 0.925 0.925 0.325
Ba 0.125 0.125 0.125
Ba 0.875 0.875 0.875
Fe 0.375 0.375 0.375
Fe 0.625 0.625 0.625
O 0.074 0.619 0.491
O 0.315 0.491 0.619
O 0.381 0.926 0.685
O 0.491 0.315 0.074
O 0.509 0.685 0.926
O 0.619 0.074 0.315
O 0.685 0.509 0.381
O 0.926 0.381 0.509

---

> The lowest density belongs to which entry?

Cs2BaFeO4

---

> What is the density in the second record?

3.114 Mg/m³

---

Repeat the second record exactly.
First-principles (PBE with a Hubbard U) data for crystalline Cs2BaFeO4 at its relaxed geometry, as listed in Alexandria.

E: -80.24 eV for the cell shown
Density: 3.114 Mg/m³

Cell lengths 14.636, 13.484, 7.316 Å; angles 83.85, 66.35, 29.80 degrees
Atoms (fractional coordinates):
Cs 0.075 0.075 0.675
Cs 0.325 0.325 0.925
Cs 0.675 0.675 0.075
Cs 0.925 0.925 0.325
Ba 0.125 0.125 0.125
Ba 0.875 0.875 0.875
Fe 0.375 0.375 0.375
Fe 0.625 0.625 0.625
O 0.074 0.619 0.491
O 0.315 0.491 0.619
O 0.381 0.926 0.685
O 0.491 0.315 0.074
O 0.509 0.685 0.926
O 0.619 0.074 0.315
O 0.685 0.509 0.381
O 0.926 0.381 0.509